This record from the Alexandria database describes a PBEsol-optimized structure of NaZr2CdHg. The functional is SCAN.

abc: 5.155 5.304 5.304
angles: 90.00 90.00 90.00
Fractional coordinates of all 5 atoms:
Na: 0.500 0.500 0.500
Cd: 0.000 0.000 0.000
Hg: 0.500 0.000 0.000
Zr: 0.000 0.000 0.500
Zr: 0.000 0.500 0.000

Computed properties:
SG = P4/mmm, No. 123
crystal system = tetragonal
total energy = -31.894 eV/atom
energy of formation from the pure elements = 0.94 eV per atom